Crystalline Pu2InTc at its relaxed geometry. Source: the Alexandria database, functional PBE-GGA.

The value obtained for the distance to the lowest polymorph of the same formula is 347.2 meV per atom. For the energy relative to the elements, the calculation gives 5.986 kcal/mol of atoms. The calculated total energy comes out at -122.2 eV per cell. Its volume is 97.6 Å³/f.u.

The space group is R-3m (No. 166, hexagonal axes) and the conventional cell measures 3.2253, 3.2253 and 32.4977 Å, with angles of 90.00, 90.00 and 120.00 degrees. The distinct sites, in fractional coordinates, are Pu at (0.0000, 0.0000, 0.1008), In at (0.0000, 0.0000, 0.0000) and Tc at (0.0000, 0.0000, 0.5000).